No. 1
# NaMnCl5

NaMnCl5 after structural relaxation (PBE, Alexandria via LeMat-Bulk).

## Properties
For the uncorrected formation energy, the calculation gives -1070 meV per atom. The size of the total moment comes out at 6.04 μB/cell. The calculation puts the energy above the most stable polymorph in this dataset at 0.0 meV per atom.

abc: 7.407 7.407 9.947
angles: 104.52 104.52 122.82
Site moments in Bohr magnetons follow the coordinates.
Positions (direct):
Cl: 0.176 0.324 0.250  -0.09
Cl: 0.311 0.601 0.601  0.02
Cl: 0.899 0.189 0.899  0.02
Cl: 0.354 0.201 0.985  0.01
Cl: 0.101 0.811 0.101  0.02
Cl: 0.299 0.146 0.515  0.01
Cl: 0.824 0.676 0.750  -0.09
Cl: 0.646 0.799 0.015  0.01
Cl: 0.701 0.854 0.485  0.01
Cl: 0.689 0.399 0.399  0.02
Na: 0.806 0.694 0.250  0.00
Na: 0.194 0.306 0.750  0.00
Mn: 0.000 0.000 0.000  2.87
Mn: 0.500 0.500 0.500  2.87


No. 2
# SrP2PtAu

SrP2PtAu after structural relaxation (PBE, Alexandria via LeMat-Bulk).

## Properties
The value obtained for the formation energy is 0.0363 eV per atom. The size of the total moment comes out at 0.00 μB/cell. The density of states at the Fermi level comes out at 4.3 states/eV/f.u.

abc: 4.599 6.165 4.599
angles: 90.00 90.00 90.00
Positions (direct):
Pt: 0.000 0.000 0.000
Au: 0.500 0.500 0.500
Sr: 0.000 0.500 0.000
P: 0.000 0.000 0.500
P: 0.500 0.000 0.000


No. 3
# RbLa2Se2

RbLa2Se2 after structural relaxation (PBE, Alexandria via LeMat-Bulk).

## Properties
For the uncorrected formation energy, the calculation gives -1180 meV per atom. The size of the total moment comes out at 0.00 μB/cell. The density of states at the Fermi level comes out at 5.6 states/eV/f.u.

abc: 5.377 5.377 8.499
angles: 71.56 71.56 90.00
Positions (direct):
Se: 0.336 0.336 0.328
Se: 0.664 0.664 0.672
La: 0.250 0.750 0.500
La: 0.750 0.250 0.500
Rb: 0.000 0.000 0.000


No. 4
# SrLa3Nd4Te8

SrLa3Nd4Te8 after structural relaxation (PBE, Alexandria via LeMat-Bulk).

## Properties
For the uncorrected formation energy, the calculation gives -1517 meV per atom. The size of the total moment comes out at 0.00 μB/cell. The density of states at the Fermi level comes out at 10.3 states/eV/f.u.

abc: 9.119 9.098 9.116
angles: 120.04 120.01 90.00
Positions (direct):
Nd: 0.000 0.000 0.500
Nd: 0.500 0.000 0.000
Nd: 0.500 0.000 0.500
Nd: 0.000 0.000 0.000
Te: 0.248 0.245 0.497
Te: 0.752 0.755 0.503
Te: 0.748 0.245 0.997
Te: 0.252 0.755 0.504
Te: 0.751 0.755 0.003
Te: 0.249 0.245 0.997
Te: 0.748 0.245 0.496
Te: 0.252 0.755 0.003
La: 0.000 0.500 0.500
La: 0.500 0.500 0.500
La: 0.500 0.500 0.000
Sr: 0.000 0.500 0.000


No. 5
# Ho3Er4Cd

Ho3Er4Cd after structural relaxation (PBE, Alexandria via LeMat-Bulk).

## Properties
The value obtained for the formation energy is -0.0612 eV per atom. The size of the total moment comes out at 0.00 μB/cell. The density of states at the Fermi level comes out at 10.6 states/eV/f.u.

abc: 3.520 3.520 19.061
angles: 90.00 90.00 90.00
Positions (direct):
Er: 0.000 0.000 0.630
Er: 0.000 0.000 0.110
Er: 0.000 0.000 0.890
Er: 0.000 0.000 0.370
Cd: 0.500 0.500 0.000
Ho: 0.500 0.500 0.500
Ho: 0.500 0.500 0.761
Ho: 0.500 0.500 0.239


No. 6
# LaBe2Mo

LaBe2Mo after structural relaxation (PBE, Alexandria via LeMat-Bulk).

## Properties
The value obtained for the formation energy is 0.5993 eV per atom. The size of the total moment comes out at 0.00 μB/cell. The calculation puts the energy above the most stable polymorph in this dataset at 426.8 meV per atom. The density of states at the Fermi level comes out at 3.6 states/eV/f.u.

abc: 4.812 4.812 2.814
angles: 90.00 90.00 90.00
Positions (direct):
Be: 0.500 0.500 0.000
Be: 0.000 0.000 0.000
Mo: 0.000 0.500 0.500
La: 0.500 0.000 0.500


What is the size of the total moment in the third record?
0.00 μB/cell